1.
The following is a meta-GGA SCAN calculation of CaMnH2 at its PBEsol-relaxed geometry, from Alexandria.

Unit cell a=5.0554 b=5.0159 c=5.0554 alpha=59.74 beta=90.00 gamma=120.26
Closest atoms and distances in Å follow each position.
Element x y z (fractional)
1 Ca 0.5000 0.0000 0.5000  4 H 2.32
2 Mn 0.7500 0.5000 0.7500  4 H 1.73
3 H 0.0307 0.7500 0.8750  2 Mn 1.73
4 H 0.8750 0.2500 0.7193  2 Mn 1.73
5 H 0.7193 0.7500 0.3750  2 Mn 1.73
6 H 0.3750 0.2500 0.0307  2 Mn 1.73
7 Ca 0.2500 0.5000 0.2500  4 H 2.32
8 Mn 0.0000 0.0000 0.0000  4 H 1.73

Spin magnetization   3.0 μB per formula unit
Raw total energy   -8.88 eV/atom

***

2.
The following is a meta-GGA SCAN calculation of RbLaHg3 at its PBEsol-relaxed geometry, from Alexandria.

Unit cell a=5.9972 b=5.9972 c=5.9972 alpha=90.00 beta=90.00 gamma=90.00
Closest atoms and distances in Å follow each position.
Element x y z (fractional)
1 Hg 0.0000 0.0000 0.5000  2 La 3.00
2 La 0.0000 0.0000 0.0000  6 Hg 3.00
3 Hg 0.5000 0.0000 0.0000  2 La 3.00
4 Rb 0.5000 0.5000 0.5000  12 Hg 4.24
5 Hg 0.0000 0.5000 0.0000  2 La 3.00

Spin magnetization   0.0 μB per formula unit
Raw total energy   -53.75 eV/atom
E_form   -0.08 eV/atom

***

3.
The following is a meta-GGA SCAN calculation of NaLi3I at its PBEsol-relaxed geometry, from Alexandria.

Unit cell a=5.4098 b=5.4098 c=5.4098 alpha=90.00 beta=90.00 gamma=90.00
Closest atoms and distances in Å follow each position.
Element x y z (fractional)
1 Li 0.5000 0.0000 0.0000  2 I 2.70
2 I 0.0000 0.0000 0.0000  6 Li 2.70
3 Na 0.5000 0.5000 0.5000  12 Li 3.83
4 Li 0.0000 0.5000 0.0000  2 I 2.70
5 Li 0.0000 0.0000 0.5000  2 I 2.70

Spin magnetization   0.0 μB per formula unit
Raw total energy   -9.84 eV/atom
Raw formation energy   -0.21 eV/atom

***

4.
The following is a meta-GGA SCAN calculation of TiBe2Co at its PBEsol-relaxed geometry, from Alexandria.

Unit cell a=3.8493 b=3.8493 c=3.8493 alpha=60.00 beta=60.00 gamma=60.00
Closest atoms and distances in Å follow each position.
Element x y z (fractional)
1 Be 0.7500 0.7500 0.7500  4 Co 2.36, 4 Ti 2.36
2 Be 0.2500 0.2500 0.2500  4 Co 2.36, 4 Ti 2.36
3 Ti 0.0000 0.0000 0.0000  8 Be 2.36
4 Co 0.5000 0.5000 0.5000  8 Be 2.36

Spin magnetization   0.0 μB per formula unit
Raw total energy   -10.72 eV/atom
E_form   -0.21 eV/atom